Density functional theory data (PBE-GGA) for an optimized crystal structure of RbLaSiSe4.

Properties
Crystal system: monoclinic
Energy relative to the elements, uncorrected: -1310 meV/atom

Cell and atoms, written as extended XYZ:
```
14
Lattice="6.8853 0.0000 -0.0883 0.0000 7.0192 0.0000 -2.8152 0.0000 9.1396" Properties=species:S:1:pos:R:3 pbc="T T T"
Rb 2.4285 5.2644 8.4853
Rb 1.6415 1.7548 0.5661
La 4.0131 5.2644 4.0380
La 0.0570 1.7548 5.0134
Si 0.5434 5.2644 2.9295
Si 3.5267 1.7548 6.1219
Se -1.9678 3.5468 6.5534
Se 6.0379 0.0372 2.4980
Se 6.0379 3.4724 2.4980
Se -1.9678 6.9820 6.5534
Se 2.3184 5.2644 1.5160
Se 1.7517 1.7548 7.5354
Se 1.1643 5.2644 5.1354
Se 2.9058 1.7548 3.9159
```

***

Density functional theory data (PBE-GGA) for an optimized crystal structure of CaLa2Al.

Properties
Crystal system: monoclinic
Energy of formation: -31.1 meV/atom

Cell and atoms, written as extended XYZ:
```
4
Lattice="5.6446 0.0000 0.0000 0.0000 3.6918 0.0198 0.0000 1.2429 6.1761" Properties=species:S:1:pos:R:3 pbc="T T T"
Ca 2.8223 3.7010 4.6469
Al 2.8223 1.2337 1.5490
La 0.0000 0.2667 0.2657
La 0.0000 2.2007 2.8322
```

***

no.,V (Å³/atom)
1,31.4
2,32.1